DFT (PBE) results for crystalline BePt3W at its relaxed geometry.

Lattice parameters (Å, degrees): 4.237 4.237 4.237 90.00 90.00 90.00
Fractional coordinates of all 5 atoms:
Be 0.000 0.000 0.000
Pt 0.000 0.000 0.500
Pt 0.000 0.500 0.000
Pt 0.500 0.000 0.000
W 0.500 0.500 0.500

**Spin magnetization**: 3.52 μB per formula unit
**Calculated volume**: 76.04 Å³ per cell
**Energy above the most stable polymorph in this dataset**: 0.0 kJ per mole of atoms
**Final energy**: -6.613 eV/atom
**ΔH_f (0 K)**: 347.5 meV/atom

=====

DFT (PBE) results for crystalline BePtW2 at its relaxed geometry.

Lattice parameters (Å, degrees): 2.707 4.047 5.285 90.00 95.69 90.00
Fractional coordinates of all 4 atoms:
Be 0.000 0.000 0.000
Pt 0.000 0.000 0.500
W 0.449 0.500 0.231
W 0.551 0.500 0.769

**Spin magnetization**: 0.00 μB per formula unit
**Calculated volume**: 57.61 Å³ per cell
**Final energy**: -8.925 eV/atom
**ΔH_f (0 K)**: -7.1 meV/atom

=====

- Look up the final energy of the second one.
  -8.925 eV/atom